A geometry-optimized CrAgO3 structure, computed with PBE+U.

Unit cell a=3.770 b=3.770 c=3.770 alpha=90.00 beta=90.00 gamma=90.00
Site moments in Bohr magnetons follow the coordinates.
Element x y z (fractional)
Ag1 0.500 0.500 0.500  -0.21
O1 0.000 0.000 0.500  -0.12
O2 0.500 0.000 0.000  -0.43
O3 0.000 0.500 0.000  -0.27
Cr1 0.000 0.000 0.000  2.09

Properties
**Space group**: No. 221
**Raw total energy**: -5.743 eV/atom